A plane-wave DFT calculation with PBE-GGA was carried out for a relaxed AcPm4Dy2Tm crystal.

Cell: 5.937 5.937 7.826 Å, 90.00 90.00 90.00°
Space group P4/mmm (No. 123)
Unique sites:
Ac (0.000, 0.000, 0.000) x1
Pm (0.000, 0.500, 0.272) x4
Dy (0.000, 0.000, 0.500) x1
Dy (0.500, 0.500, 0.000) x1
Tm (0.500, 0.500, 0.500) x1

N(E_F) ... 17.60 states/eV per cell
Formation energy from the elements ... 0.1260 eV/atom
Spin magnetization ... 0.0 μB per formula unit

=====

A plane-wave DFT calculation with PBE-GGA was carried out for a relaxed AcPmDy6Tm2 crystal.

Cell: 9.261 15.155 9.537 Å, 90.00 94.95 90.00°
Space group C2/c (No. 15)
Unique sites:
Ac (0.000, 0.034, 0.250) x4
Pm (0.000, 0.411, 0.750) x4
Dy (0.063, 0.185, 0.943) x8
Dy (0.098, 0.388, 0.116) x8
Dy (0.216, 0.231, 0.322) x8
Tm (0.244, 0.444, 0.450) x8

N(E_F) ... 59.73 states/eV per cell
Formation energy from the elements ... 0.1313 eV/atom
Spin magnetization ... 0.0 μB per formula unit

=====

Calculated values (hartree per atom) of electronic total energy for the records, taken in order: -0.1644 -0.1621.